<A>
The following is a GGA-PBEsol calculation of Li3Re after structural relaxation, from Alexandria via LeMat-Bulk.

Lattice parameters (Å, degrees): 2.430 9.246 5.120 90.00 90.00 90.00
Space group Imm2 (No. 44)
One atom of each set of equivalent atoms:
Li 0.000 0.000 0.000
Li 0.000 0.247 0.721
Re 0.000 0.500 0.001

Results
calculated volume = 14.4 Å³/atom
crystal system = orthorhombic
total magnetic moment = 0.0 μB per formula unit

=====

<B>
The following is a GGA-PBEsol calculation of Li3Re after structural relaxation, from Alexandria via LeMat-Bulk.

Lattice parameters (Å, degrees): 2.426 4.695 5.079 90.00 90.00 90.00
Space group Pmm2 (No. 25)
One atom of each set of equivalent atoms:
Li 0.000 0.000 0.000
Li 0.000 0.500 0.311
Li 0.500 0.000 0.549
Re 0.500 0.500 0.815

Results
calculated volume = 14.5 Å³/atom
crystal system = orthorhombic
total magnetic moment = 0.0 μB per formula unit

=====

On energetic grounds, <A> is preferred over the next structure by 17 meV/atom.

=====

<A>
The following is a GGA-PBEsol calculation of SrLi2Re after structural relaxation, from Alexandria via LeMat-Bulk.

Lattice parameters (Å, degrees): 2.765 5.344 5.491 90.00 90.00 90.00
Space group Pmmm (No. 47)
One atom of each set of equivalent atoms:
Sr 0.000 0.000 0.000
Li 0.000 0.500 0.500
Li 0.500 0.000 0.500
Re 0.500 0.500 0.000

Results
calculated volume = 20.3 Å³/atom
crystal system = orthorhombic
total magnetic moment = 0.0 μB per formula unit

=====

<B>
The following is a GGA-PBEsol calculation of SrLi2Re after structural relaxation, from Alexandria via LeMat-Bulk.

Lattice parameters (Å, degrees): 2.788 3.788 7.709 90.00 90.00 90.00
Space group Pmm2 (No. 25)
One atom of each set of equivalent atoms:
Sr 0.000 0.000 0.000
Li 0.000 0.000 0.569
Li 0.500 0.500 0.384
Re 0.500 0.500 0.731

Results
calculated volume = 20.3 Å³/atom
crystal system = orthorhombic
total magnetic moment = 0.0 μB per formula unit

=====

<C>
The following is a GGA-PBEsol calculation of SrLi2Re after structural relaxation, from Alexandria via LeMat-Bulk.

Lattice parameters (Å, degrees): 3.766 4.141 10.050 90.00 90.00 90.00
Space group Cmm2 (No. 35)
One atom of each set of equivalent atoms:
Sr 0.000 0.000 0.000
Li 0.000 0.000 0.552
Li 0.000 0.500 0.306
Re 0.000 0.500 0.750

Results
calculated volume = 19.6 Å³/atom
crystal system = orthorhombic
total magnetic moment = 0.0 μB per formula unit

=====

On energetic grounds, <C> is preferred over the next structure by 47 meV/atom.